VASP calculation (PBE) on an optimized crystal structure of Li5Ga6Co.

Calculated values
For the total magnetization, the calculation gives 0.00 μB per formula unit. The value obtained for the density of states at the Fermi level is 0.3810 states/eV/atom. The calculation puts the formation energy from the elements at -0.260 eV per atom. The value obtained for the volume is 172.5 Å³/f.u.

abc: 6.9794 6.9794 5.8973
angles: 90.00 90.00 143.10
With the nearest neighbours (Å) after each atom.
Atoms (fractional coordinates):
1 Li 0.0000 0.0000 0.0000  8 Ga 2.59-2.68
2 Li 0.3228 0.6772 0.0000  8 Ga 2.66-2.79, 4 Li 2.93-2.95
3 Li 0.3321 0.6679 0.5000  8 Ga 2.63-2.70
4 Li 0.6679 0.3321 0.5000  8 Ga 2.63-2.70
5 Li 0.6772 0.3228 0.0000  8 Ga 2.66-2.79, 4 Li 2.93-2.95
6 Ga 0.1585 0.8415 0.2586  1 Co 2.54, 7 Li 2.59-2.70
7 Ga 0.1585 0.8415 0.7414  1 Co 2.54, 7 Li 2.59-2.70
8 Ga 0.5000 0.5000 0.2566  2 Co 2.63, 6 Li 2.65-2.79, 1 Ga 2.87
9 Ga 0.5000 0.5000 0.7434  2 Co 2.63, 6 Li 2.65-2.79, 1 Ga 2.87
10 Ga 0.8415 0.1585 0.2586  1 Co 2.54, 7 Li 2.59-2.70
11 Ga 0.8415 0.1585 0.7414  1 Co 2.54, 7 Li 2.59-2.70
12 Co 0.0000 0.0000 0.5000  8 Ga 2.54-2.63